# Tm3ScS2 | Alexandria | GGA-PBE | optimized geometry
# E_tot	-0.2170	Ha/atom
# density of states at the Fermi level	3.73	states/eV/f.u.
# ΔE_f (raw)	-1.2371	eV per atom
# size of the total moment	0.0	μB/f.u.
# SG	C2/m, No. 12
data_Tm3ScS2
_symmetry_space_group_name_H-M 'P 1'
_symmetry_Int_Tables_number 1
_cell_length_a 3.680
_cell_length_b 8.202
_cell_length_c 9.735
_cell_angle_alpha 85.12
_cell_angle_beta 79.10
_cell_angle_gamma 77.04
loop_
_symmetry_equiv_pos_as_xyz
'x,y,z'
loop_
_atom_site_label
_atom_site_fract_x
_atom_site_fract_y
_atom_site_fract_z
_atom_site_occupancy
Tm1 0.318 0.303 0.061 1
Tm2 0.817 0.795 0.570 1
Tm3 0.183 0.205 0.430 1
Tm4 0.682 0.697 0.939 1
Tm5 0.063 0.055 0.819 1
Tm6 0.937 0.945 0.181 1
S1 0.626 0.125 0.623 1
S2 0.374 0.875 0.377 1
S3 0.876 0.383 0.864 1
S4 0.124 0.617 0.136 1
Sc1 0.442 0.436 0.681 1
Sc2 0.558 0.564 0.319 1

***

# TmSc2S | Alexandria | GGA-PBE | optimized geometry
# E_tot	-0.2290	Ha/atom
# density of states at the Fermi level	4.00	states/eV/f.u.
# ΔE_f (raw)	-0.9157	eV per atom
# size of the total moment	0.4	μB/f.u.
# SG	R3m, No. 160
# distance to the lowest polymorph of the same formula	0	meV/atom
data_TmSc2S
_symmetry_space_group_name_H-M 'P 1'
_symmetry_Int_Tables_number 1
_cell_length_a 3.548
_cell_length_b 3.548
_cell_length_c 8.769
_cell_angle_alpha 78.31
_cell_angle_beta 78.31
_cell_angle_gamma 60.02
loop_
_symmetry_equiv_pos_as_xyz
'x,y,z'
loop_
_atom_site_label
_atom_site_fract_x
_atom_site_fract_y
_atom_site_fract_z
_atom_site_occupancy
S1 0.667 0.667 0.000 1
Sc1 0.060 0.060 0.820 1
Sc2 0.274 0.274 0.179 1
Tm1 0.500 0.500 0.501 1

***

# TmSc3S4 | Alexandria | GGA-PBE | optimized geometry
# E_tot	-0.2527	Ha/atom
# density of states at the Fermi level	5.17	states/eV/f.u.
# ΔE_f (raw)	-1.8796	eV per atom
# size of the total moment	0.0	μB/f.u.
# SG	Cmmm, No. 65
# distance to the lowest polymorph of the same formula	0	meV/atom
data_TmSc3S4
_symmetry_space_group_name_H-M 'P 1'
_symmetry_Int_Tables_number 1
_cell_length_a 3.718
_cell_length_b 6.474
_cell_length_c 6.474
_cell_angle_alpha 109.28
_cell_angle_beta 90.00
_cell_angle_gamma 90.00
loop_
_symmetry_equiv_pos_as_xyz
'x,y,z'
loop_
_atom_site_label
_atom_site_fract_x
_atom_site_fract_y
_atom_site_fract_z
_atom_site_occupancy
Sc1 0.000 0.500 0.000 1
Sc2 0.500 0.500 0.500 1
Sc3 0.000 0.000 0.500 1
Tm1 0.500 0.000 0.000 1
S1 0.500 0.254 0.746 1
S2 0.000 0.257 0.257 1
S3 0.000 0.743 0.743 1
S4 0.500 0.746 0.254 1

***

# TmSc8S4 | Alexandria | GGA-PBE | optimized geometry
# E_tot	-0.2431	Ha/atom
# density of states at the Fermi level	12.99	states/eV/f.u.
# ΔE_f (raw)	-1.1037	eV per atom
# size of the total moment	0.0	μB/f.u.
# SG	C2/m, No. 12
data_TmSc8S4
_symmetry_space_group_name_H-M 'P 1'
_symmetry_Int_Tables_number 1
_cell_length_a 3.551
_cell_length_b 8.919
_cell_length_c 9.319
_cell_angle_alpha 81.19
_cell_angle_beta 79.02
_cell_angle_gamma 78.52
loop_
_symmetry_equiv_pos_as_xyz
'x,y,z'
loop_
_atom_site_label
_atom_site_fract_x
_atom_site_fract_y
_atom_site_fract_z
_atom_site_occupancy
S1 0.846 0.508 0.801 1
S2 0.186 0.496 0.133 1
S3 0.368 0.837 0.427 1
S4 0.663 0.166 0.507 1
Sc1 0.851 0.007 0.291 1
Sc2 0.890 0.666 0.554 1
Sc3 0.477 0.333 0.713 1
Sc4 0.142 0.337 0.379 1
Sc5 0.820 0.321 0.039 1
Sc6 0.554 0.670 0.221 1
Sc7 0.212 0.682 0.895 1
Sc8 0.180 0.996 0.643 1
Tm1 0.516 0.002 0.967 1

***

# Tm2Sc3S6 | Alexandria | GGA-PBE | optimized geometry
# E_tot	-0.2493	Ha/atom
# density of states at the Fermi level	4.98	states/eV/f.u.
# ΔE_f (raw)	-1.9931	eV per atom
# size of the total moment	0.0	μB/f.u.
# SG	C2/m, No. 12
data_Tm2Sc3S6
_symmetry_space_group_name_H-M 'P 1'
_symmetry_Int_Tables_number 1
_cell_length_a 6.476
_cell_length_b 6.455
_cell_length_c 6.532
_cell_angle_alpha 80.48
_cell_angle_beta 70.74
_cell_angle_gamma 59.89
loop_
_symmetry_equiv_pos_as_xyz
'x,y,z'
loop_
_atom_site_label
_atom_site_fract_x
_atom_site_fract_y
_atom_site_fract_z
_atom_site_occupancy
S1 0.081 0.332 0.760 1
S2 0.587 0.332 0.240 1
S3 0.745 0.000 0.756 1
S4 0.255 0.000 0.244 1
S5 0.919 0.668 0.240 1
S6 0.413 0.668 0.760 1
Sc1 0.663 0.673 0.000 1
Sc2 0.000 0.000 0.000 1
Sc3 0.337 0.327 0.000 1
Tm1 0.166 0.668 0.500 1
Tm2 0.834 0.332 0.500 1

***

# Tm3Sc2US6 | Alexandria | GGA-PBE | optimized geometry
# E_tot	-0.2567	Ha/atom
# density of states at the Fermi level	10.18	states/eV/f.u.
# ΔE_f (raw)	-1.8086	eV per atom
# size of the total moment	3.1	μB/f.u.
# SG	C2/m, No. 12
data_Tm3Sc2US6
_symmetry_space_group_name_H-M 'P 1'
_symmetry_Int_Tables_number 1
_cell_length_a 3.772
_cell_length_b 7.671
_cell_length_c 8.515
_cell_angle_alpha 103.24
_cell_angle_beta 102.80
_cell_angle_gamma 90.00
loop_
_symmetry_equiv_pos_as_xyz
'x,y,z'
loop_
_atom_site_label
_atom_site_fract_x
_atom_site_fract_y
_atom_site_fract_z
_atom_site_occupancy
Sc1 0.839 0.679 0.677 1
Sc2 0.161 0.321 0.323 1
S1 0.330 0.911 0.661 1
S2 0.329 0.425 0.658 1
S3 0.002 0.257 0.003 1
S4 0.670 0.089 0.339 1
S5 0.998 0.743 0.997 1
S6 0.671 0.575 0.342 1
Tm1 0.165 0.833 0.330 1
Tm2 0.500 0.500 0.000 1
Tm3 0.835 0.167 0.670 1
U1 0.500 0.000 0.000 1

***

# YTmSc2S4 | Alexandria | GGA-PBE | optimized geometry
# E_tot	-0.2543	Ha/atom
# density of states at the Fermi level	5.03	states/eV/f.u.
# ΔE_f (raw)	-1.9070	eV per atom
# size of the total moment	0.0	μB/f.u.
# SG	P2/m, No. 10
data_YTmSc2S4
_symmetry_space_group_name_H-M 'P 1'
_symmetry_Int_Tables_number 1
_cell_length_a 3.768
_cell_length_b 6.561
_cell_length_c 6.589
_cell_angle_alpha 70.76
_cell_angle_beta 90.00
_cell_angle_gamma 90.00
loop_
_symmetry_equiv_pos_as_xyz
'x,y,z'
loop_
_atom_site_label
_atom_site_fract_x
_atom_site_fract_y
_atom_site_fract_z
_atom_site_occupancy
S1 0.000 0.765 0.742 1
S2 0.000 0.235 0.258 1
S3 0.500 0.762 0.249 1
S4 0.500 0.238 0.751 1
Y1 0.500 0.500 0.000 1
Tm1 0.000 0.500 0.500 1
Sc1 0.500 0.000 0.500 1
Sc2 0.000 0.000 0.000 1

***

# Y3TmSc3S8 | Alexandria | GGA-PBE | optimized geometry
# E_tot	-0.2589	Ha/atom
# density of states at the Fermi level	6.84	states/eV/f.u.
# ΔE_f (raw)	-1.9876	eV per atom
# size of the total moment	0.0	μB/f.u.
# SG	R-3m, No. 166
data_Y3TmSc3S8
_symmetry_space_group_name_H-M 'P 1'
_symmetry_Int_Tables_number 1
_cell_length_a 7.568
_cell_length_b 7.568
_cell_length_c 7.641
_cell_angle_alpha 119.68
_cell_angle_beta 90.00
_cell_angle_gamma 120.00
loop_
_symmetry_equiv_pos_as_xyz
'x,y,z'
loop_
_atom_site_label
_atom_site_fract_x
_atom_site_fract_y
_atom_site_fract_z
_atom_site_occupancy
Sc1 0.500 0.500 0.500 1
Sc2 0.500 0.000 0.500 1
Sc3 0.000 0.500 0.500 1
Y1 0.000 0.500 0.000 1
Y2 0.000 0.000 0.000 1
Y3 0.500 0.500 0.000 1
S1 0.745 0.489 0.734 1
S2 0.748 0.496 0.259 1
S3 0.252 0.989 0.741 1
S4 0.748 0.011 0.259 1
S5 0.252 0.504 0.741 1
S6 0.255 0.511 0.266 1
S7 0.263 0.011 0.259 1
S8 0.737 0.989 0.741 1
Tm1 0.000 0.000 0.500 1

***

# Y4Tm3ScS8 | Alexandria | GGA-PBE | optimized geometry
# E_tot	-0.2522	Ha/atom
# density of states at the Fermi level	9.45	states/eV/f.u.
# ΔE_f (raw)	-1.9478	eV per atom
# size of the total moment	0.0	μB/f.u.
# SG	R-3m, No. 166
data_Y4Tm3ScS8
_symmetry_space_group_name_H-M 'P 1'
_symmetry_Int_Tables_number 1
_cell_length_a 7.714
_cell_length_b 7.747
_cell_length_c 7.714
_cell_angle_alpha 119.86
_cell_angle_beta 120.00
_cell_angle_gamma 90.00
loop_
_symmetry_equiv_pos_as_xyz
'x,y,z'
loop_
_atom_site_label
_atom_site_fract_x
_atom_site_fract_y
_atom_site_fract_z
_atom_site_occupancy
S1 0.253 0.258 0.505 1
S2 0.756 0.261 0.512 1
S3 0.249 0.261 0.005 1
S4 0.747 0.742 0.495 1
S5 0.244 0.739 0.488 1
S6 0.751 0.739 0.995 1
S7 0.756 0.261 0.005 1
S8 0.244 0.739 0.995 1
Tm1 0.000 0.500 0.500 1
Tm2 0.500 0.500 0.500 1
Tm3 0.500 0.500 0.000 1
Y1 0.500 0.000 0.500 1
Y2 0.500 0.000 0.000 1
Y3 0.000 0.000 0.000 1
Y4 0.000 0.000 0.500 1
Sc1 0.000 0.500 0.000 1

***

# Y3Tm3ScS8 | Alexandria | GGA-PBE | optimized geometry
# E_tot	-0.2512	Ha/atom
# density of states at the Fermi level	6.61	states/eV/f.u.
# ΔE_f (raw)	-2.0242	eV per atom
# size of the total moment	0.0	μB/f.u.
# SG	R-3m, No. 166
data_Y3Tm3ScS8
_symmetry_space_group_name_H-M 'P 1'
_symmetry_Int_Tables_number 1
_cell_length_a 7.703
_cell_length_b 7.703
_cell_length_c 7.726
_cell_angle_alpha 119.90
_cell_angle_beta 90.00
_cell_angle_gamma 120.00
loop_
_symmetry_equiv_pos_as_xyz
'x,y,z'
loop_
_atom_site_label
_atom_site_fract_x
_atom_site_fract_y
_atom_site_fract_z
_atom_site_occupancy
S1 0.751 0.996 0.740 1
S2 0.252 0.504 0.257 1
S3 0.756 0.511 0.260 1
S4 0.748 0.496 0.743 1
S5 0.244 0.489 0.740 1
S6 0.244 0.996 0.740 1
S7 0.756 0.004 0.260 1
S8 0.249 0.004 0.260 1
Tm1 0.500 0.000 0.500 1
Tm2 0.500 0.500 0.500 1
Tm3 0.000 0.500 0.500 1
Y1 0.000 0.000 0.000 1
Y2 0.500 0.500 0.000 1
Y3 0.000 0.500 0.000 1
Sc1 0.000 0.000 0.500 1

***

# Y2TmScS4 | Alexandria | GGA-PBE | optimized geometry
# E_tot	-0.2561	Ha/atom
# density of states at the Fermi level	4.83	states/eV/f.u.
# ΔE_f (raw)	-1.9387	eV per atom
# size of the total moment	0.0	μB/f.u.
# SG	P2/m, No. 10
data_Y2TmScS4
_symmetry_space_group_name_H-M 'P 1'
_symmetry_Int_Tables_number 1
_cell_length_a 3.817
_cell_length_b 6.649
_cell_length_c 6.713
_cell_angle_alpha 109.11
_cell_angle_beta 90.00
_cell_angle_gamma 90.00
loop_
_symmetry_equiv_pos_as_xyz
'x,y,z'
loop_
_atom_site_label
_atom_site_fract_x
_atom_site_fract_y
_atom_site_fract_z
_atom_site_occupancy
Sc1 0.000 0.000 0.000 1
Y1 0.500 0.000 0.500 1
Y2 0.000 0.500 0.500 1
Tm1 0.500 0.500 0.000 1
S1 0.000 0.751 0.240 1
S2 0.000 0.249 0.760 1
S3 0.500 0.759 0.764 1
S4 0.500 0.241 0.236 1

***

# YTm2Sc3S6 | Alexandria | GGA-PBE | optimized geometry
# E_tot	-0.2512	Ha/atom
# density of states at the Fermi level	5.73	states/eV/f.u.
# ΔE_f (raw)	-1.9059	eV per atom
# size of the total moment	0.0	μB/f.u.
# SG	C2/m, No. 12
data_YTm2Sc3S6
_symmetry_space_group_name_H-M 'P 1'
_symmetry_Int_Tables_number 1
_cell_length_a 3.778
_cell_length_b 7.581
_cell_length_c 8.441
_cell_angle_alpha 102.81
_cell_angle_beta 102.93
_cell_angle_gamma 90.00
loop_
_symmetry_equiv_pos_as_xyz
'x,y,z'
loop_
_atom_site_label
_atom_site_fract_x
_atom_site_fract_y
_atom_site_fract_z
_atom_site_occupancy
Sc1 0.165 0.834 0.331 1
Sc2 0.835 0.166 0.669 1
Sc3 0.500 0.500 0.000 1
S1 0.998 0.261 0.996 1
S2 0.002 0.739 0.004 1
S3 0.671 0.079 0.342 1
S4 0.329 0.921 0.658 1
S5 0.335 0.411 0.670 1
S6 0.665 0.589 0.330 1
Y1 0.500 0.000 0.000 1
Tm1 0.166 0.332 0.332 1
Tm2 0.834 0.668 0.668 1